1.
Below is a relaxed Nd2NiO crystal, with properties calculated at the GGA+U level.

Computed properties:
Raw total energy: -19.25 eV for the cell shown
Magnetic moment: 0.00 Bohr magnetons per cell

Lattice parameters (Å, degrees): 3.5159 3.5159 8.1771 77.59 77.59 60.00
Closest atoms and distances in Å follow each position.
Positions (direct):
1 Ni 0.0000 0.0000 0.0000  2 Nd 2.51
2 Nd 0.1055 0.1055 0.6834  3 O 2.50, 1 Ni 2.51
3 Nd 0.8945 0.8945 0.3166  3 O 2.50, 1 Ni 2.51
4 O 0.5000 0.5000 0.5000  6 Nd 2.50



2.
Below is a relaxed Nd2NiO4 crystal, with properties calculated at the GGA+U level.

Computed properties:
Raw total energy: -50.21 eV for the cell shown
Magnetic moment: 2.00 Bohr magnetons per cell

Lattice parameters (Å, degrees): 6.7455 6.7455 6.7455 146.68 146.68 47.83
Closest atoms and distances in Å follow each position.
Positions (direct):
1 Nd 0.6356 0.6356 0.0000  5 O 2.29-2.56
2 Nd 0.3644 0.3644 0.0000  5 O 2.29-2.56
3 Ni 0.0000 0.0000 0.0000  4 O 1.93
4 O 0.0000 0.5000 0.5000  2 Ni 1.93
5 O 0.5000 0.0000 0.5000  2 Ni 1.93
6 O 0.8214 0.8214 0.0000  1 Ni 2.20, 1 Nd 2.29
7 O 0.1786 0.1786 0.0000  1 Ni 2.20, 1 Nd 2.29



3.
Below is a relaxed NdPaNiO6 crystal, with properties calculated at the GGA+U level.

Computed properties:
Raw total energy: -66.94 eV for the cell shown
Magnetic moment: 3.63 Bohr magnetons per cell

Lattice parameters (Å, degrees): 4.8406 5.4827 5.4827 120.00 90.00 90.00
Closest atoms and distances in Å follow each position.
Positions (direct):
1 Nd 0.5000 0.6667 0.3333  6 O 2.35
2 Pa 0.0000 0.3333 0.6667  6 O 2.19
3 Ni 0.5000 0.0000 0.0000  6 O 2.04
4 O 0.7397 0.6798 0.7120  1 Ni 2.04, 1 Pa 2.19
5 O 0.7397 0.2880 0.9678  1 Ni 2.04, 1 Pa 2.19
6 O 0.7397 0.0322 0.3202  1 Ni 2.04, 1 Pa 2.19
7 O 0.2603 0.2880 0.3202  1 Ni 2.04, 1 Pa 2.19
8 O 0.2603 0.6798 0.9678  1 Ni 2.04, 1 Pa 2.19
9 O 0.2603 0.0322 0.7120  1 Ni 2.04, 1 Pa 2.19



4.
Below is a relaxed Nd2NiPbO6 crystal, with properties calculated at the GGA+U level.

Computed properties:
Raw total energy: -134.26 eV for the cell shown
Magnetic moment: 4.00 Bohr magnetons per cell

Lattice parameters (Å, degrees): 5.6235 5.9293 8.1526 90.00 88.91 90.00
Closest atoms and distances in Å follow each position.
Positions (direct):
1 Nd 0.0223 0.9346 0.2514  6 O 2.35-2.62
2 Nd 0.5223 0.5654 0.7514  6 O 2.35-2.62
3 Nd 0.9777 0.0654 0.7486  6 O 2.35-2.62
4 Nd 0.4777 0.4346 0.2486  6 O 2.35-2.62
5 Ni 0.5000 0.0000 0.0000  6 O 2.09-2.14
6 Ni 0.0000 0.5000 0.5000  6 O 2.09-2.14
7 Pb 0.5000 0.0000 0.5000  6 O 2.19-2.21
8 Pb 0.0000 0.5000 0.0000  6 O 2.19-2.21
9 O 0.3126 0.7007 0.0629  1 Ni 2.12, 1 Pb 2.19
10 O 0.8126 0.7993 0.5629  1 Ni 2.12, 1 Pb 2.19
11 O 0.6874 0.2993 0.9371  1 Ni 2.12, 1 Pb 2.19
12 O 0.1874 0.2007 0.4371  1 Ni 2.12, 1 Pb 2.19
13 O 0.2997 0.6930 0.4361  1 Ni 2.09, 1 Pb 2.21
14 O 0.7997 0.8070 0.9361  1 Ni 2.09, 1 Pb 2.21
15 O 0.7003 0.3070 0.5639  1 Ni 2.09, 1 Pb 2.21
16 O 0.2003 0.1930 0.0639  1 Ni 2.09, 1 Pb 2.21
17 O 0.8774 0.5484 0.2561  1 Ni 2.14, 1 Pb 2.21, 1 Nd 2.35
18 O 0.3774 0.9516 0.7561  1 Ni 2.14, 1 Pb 2.21, 1 Nd 2.35
19 O 0.1226 0.4516 0.7439  1 Ni 2.14, 1 Pb 2.21, 1 Nd 2.35
20 O 0.6226 0.0484 0.2439  1 Ni 2.14, 1 Pb 2.21, 1 Nd 2.35



5.
Below is a relaxed Nd2NiPtO6 crystal, with properties calculated at the GGA+U level.

Computed properties:
Raw total energy: -138.06 eV for the cell shown
Magnetic moment: 3.94 Bohr magnetons per cell

Lattice parameters (Å, degrees): 5.8081 5.4765 9.5720 55.12 90.00 90.00
Closest atoms and distances in Å follow each position.
Positions (direct):
1 Nd 0.4310 0.2310 0.7494  6 O 2.35-2.59
2 Nd 0.5690 0.7690 0.2506  6 O 2.35-2.59
3 Nd 0.9310 0.7690 0.7506  6 O 2.35-2.59
4 Nd 0.0690 0.2310 0.2494  6 O 2.35-2.59
5 Ni 0.0000 0.5000 0.5000  6 O 2.06-2.10
6 Ni 0.5000 0.5000 0.0000  6 O 2.06-2.10
7 Pt 0.0000 0.0000 0.0000  6 O 2.05-2.06
8 Pt 0.5000 0.0000 0.5000  6 O 2.05-2.06
9 O 0.0328 0.3538 0.7507  1 Pt 2.05, 1 Ni 2.06
10 O 0.9672 0.6462 0.2493  1 Pt 2.05, 1 Ni 2.06
11 O 0.5328 0.6462 0.7493  1 Pt 2.05, 1 Ni 2.06
12 O 0.4672 0.3538 0.2507  1 Pt 2.05, 1 Ni 2.06
13 O 0.7021 0.8633 0.9464  1 Pt 2.06, 1 Ni 2.10
14 O 0.2979 0.1367 0.0536  1 Pt 2.06, 1 Ni 2.10
15 O 0.2021 0.1367 0.5536  1 Pt 2.06, 1 Ni 2.10
16 O 0.7979 0.8633 0.4464  1 Pt 2.06, 1 Ni 2.10
17 O 0.1973 0.7485 0.9475  1 Pt 2.06, 1 Ni 2.10
18 O 0.8027 0.2515 0.0525  1 Pt 2.06, 1 Ni 2.10
19 O 0.6973 0.2515 0.5525  1 Pt 2.06, 1 Ni 2.10
20 O 0.3027 0.7485 0.4475  1 Pt 2.06, 1 Ni 2.10



6.
Below is a relaxed Nd2PuNiO6 crystal, with properties calculated at the GGA+U level.

Computed properties:
Raw total energy: -167.31 eV for the cell shown
Magnetic moment: 12.00 Bohr magnetons per cell

Lattice parameters (Å, degrees): 5.6714 5.9085 8.2784 90.00 88.31 90.00
Closest atoms and distances in Å follow each position.
Positions (direct):
1 Nd 0.0228 0.9404 0.2531  6 O 2.35-2.63
2 Nd 0.5228 0.5596 0.7531  6 O 2.35-2.63
3 Nd 0.9772 0.0596 0.7469  6 O 2.35-2.63
4 Nd 0.4772 0.4404 0.2469  6 O 2.35-2.63
5 Pu 0.5000 0.0000 0.5000  6 O 2.20-2.22
6 Pu 0.0000 0.5000 0.0000  6 O 2.20-2.22
7 Ni 0.5000 0.0000 0.0000  6 O 2.10-2.19
8 Ni 0.0000 0.5000 0.5000  6 O 2.10-2.19
9 O 0.3091 0.7025 0.0630  1 Ni 2.12, 1 Pu 2.20
10 O 0.8091 0.7975 0.5630  1 Ni 2.12, 1 Pu 2.20
11 O 0.6909 0.2975 0.9370  1 Ni 2.12, 1 Pu 2.20
12 O 0.1909 0.2025 0.4370  1 Ni 2.12, 1 Pu 2.20
13 O 0.2950 0.6968 0.4326  1 Ni 2.10, 1 Pu 2.22
14 O 0.7950 0.8032 0.9326  1 Ni 2.10, 1 Pu 2.22
15 O 0.7050 0.3032 0.5674  1 Ni 2.10, 1 Pu 2.22
16 O 0.2050 0.1968 0.0674  1 Ni 2.10, 1 Pu 2.22
17 O 0.8753 0.5502 0.2546  1 Ni 2.19, 1 Pu 2.22, 2 Nd 2.35-2.45
18 O 0.3753 0.9498 0.7546  1 Ni 2.19, 1 Pu 2.22, 2 Nd 2.35-2.45
19 O 0.1247 0.4498 0.7454  1 Ni 2.19, 1 Pu 2.22, 2 Nd 2.35-2.45
20 O 0.6247 0.0502 0.2454  1 Ni 2.19, 1 Pu 2.22, 2 Nd 2.35-2.45